#i
First-principles (GGA-PBE) data for crystalline Ta8W at its relaxed geometry, as listed in Alexandria.

Output
- size of the total moment (μB per formula unit) = 0.00

Geometry as extended XYZ:
```
9
Lattice="-4.153 4.153 2.388 4.153 -4.153 2.388 4.153 4.153 -2.388" Properties=species:S:1:pos:R:3 pbc="T T T"
Ta 5.567 0.000 0.000
Ta 1.375 1.375 2.388
Ta 2.738 0.000 0.000
Ta -1.375 1.375 2.388
Ta 0.000 5.567 0.000
Ta 1.375 -1.375 2.388
Ta 0.000 2.738 0.000
Ta 2.778 2.778 0.000
W 0.000 0.000 0.000
```

#ii
First-principles (GGA-PBE) data for crystalline Ta8W at its relaxed geometry, as listed in Alexandria.

Output
- size of the total moment (μB per formula unit) = 0.00

Geometry as extended XYZ:
```
9
Lattice="-0.611 -1.338 -2.944 -6.327 -3.298 0.971 -3.651 5.171 -3.432" Properties=species:S:1:pos:R:3 pbc="T T T"
Ta -2.864 2.595 -4.264
Ta -5.433 -0.469 -0.499
Ta -3.739 -0.265 -2.783
Ta -4.666 -3.108 -1.299
Ta -1.398 1.238 -2.112
Ta -4.544 2.343 -1.961
Ta -6.849 0.801 -2.622
Ta -2.272 -1.527 -0.674
W 0.000 0.000 0.000
```

Quick one: most stable of them? #ii

#i
First-principles (GGA-PBE) data for crystalline Ta5W at its relaxed geometry, as listed in Alexandria.

Output
- size of the total moment (μB per formula unit) = 0.00

Geometry as extended XYZ:
```
6
Lattice="-2.455 2.135 0.408 -0.797 -0.311 -3.165 -6.130 -7.485 2.280" Properties=species:S:1:pos:R:3 pbc="T T T"
W -4.691 -2.831 -0.239
Ta -4.043 -4.937 1.503
Ta -2.656 -0.346 -0.995
Ta 0.000 0.000 0.000
Ta -2.087 -2.549 0.776
Ta -6.726 -5.315 0.518
```

#ii
First-principles (GGA-PBE) data for crystalline Ta5W at its relaxed geometry, as listed in Alexandria.

Output
- size of the total moment (μB per formula unit) = 0.00

Geometry as extended XYZ:
```
6
Lattice="3.035 4.271 1.377 -5.293 -0.045 1.151 0.907 -1.965 4.096" Properties=species:S:1:pos:R:3 pbc="T T T"
Ta -2.517 1.393 1.226
Ta -2.193 -1.005 2.623
Ta 1.971 1.153 2.736
Ta 0.259 2.832 1.302
Ta -0.676 1.130 3.312
W 0.000 0.000 0.000
```

Quick one: most stable of them? #i

#i
First-principles (GGA-PBE) data for crystalline Ta3W2 at its relaxed geometry, as listed in Alexandria.

Output
- size of the total moment (μB per formula unit) = 0.00

Geometry as extended XYZ:
```
5
Lattice="-10.041 -1.149 -4.355 -9.283 -4.127 -4.231 -10.508 -2.749 -1.771" Properties=species:S:1:pos:R:3 pbc="T T T"
W -11.904 -3.202 -4.133
W -17.927 -4.822 -6.224
Ta -23.816 -6.407 -8.269
Ta 0.000 0.000 0.000
Ta -6.015 -1.618 -2.088
```

#ii
First-principles (GGA-PBE) data for crystalline Ta3W2 at its relaxed geometry, as listed in Alexandria.

Output
- size of the total moment (μB per formula unit) = 0.00

Geometry as extended XYZ:
```
5
Lattice="2.250 -3.897 0.000 2.250 3.897 0.000 0.000 0.000 5.509" Properties=species:S:1:pos:R:3 pbc="T T T"
Ta 0.000 0.000 0.000
Ta 2.250 -1.299 3.585
Ta 2.250 1.299 1.924
W 2.250 1.299 4.618
W 2.250 -1.299 0.891
```

Quick one: most stable of them? #i

#i
First-principles (GGA-PBE) data for crystalline Ta7W at its relaxed geometry, as listed in Alexandria.

Output
- size of the total moment (μB per formula unit) = 0.00

Geometry as extended XYZ:
```
8
Lattice="-4.216 -4.105 -0.724 -1.843 -3.206 4.634 -5.414 0.882 2.250" Properties=species:S:1:pos:R:3 pbc="T T T"
Ta -3.629 -1.162 3.442
Ta -2.108 -2.052 -0.362
Ta -0.922 -1.603 2.317
Ta -3.030 -3.655 1.955
Ta -5.737 -3.214 3.080
Ta -2.707 0.441 1.125
Ta -4.815 -1.611 0.763
W 0.000 0.000 0.000
```

#ii
First-principles (GGA-PBE) data for crystalline Ta7W at its relaxed geometry, as listed in Alexandria.

Output
- size of the total moment (μB per formula unit) = 0.00

Geometry as extended XYZ:
```
16
Lattice="-4.791 3.484 2.900 -0.195 -4.362 4.943 4.521 3.504 3.284" Properties=species:S:1:pos:R:3 pbc="T T T"
Ta 2.120 2.397 4.436
Ta -2.370 1.729 1.462
Ta -0.097 -2.150 2.472
Ta -0.001 0.005 0.022
Ta -2.468 -0.428 3.909
Ta -2.582 0.230 6.693
Ta -0.347 1.964 8.323
Ta 2.140 -0.418 4.099
Ta -2.488 2.387 4.246
Ta -0.135 3.464 3.088
Ta -0.251 4.119 5.873
Ta 2.021 0.240 6.883
Ta -0.214 -1.495 5.257
Ta 2.234 1.739 1.652
W -0.231 1.309 5.546
W -0.117 0.661 2.799
```

Quick one: most stable of them? #ii

#i
First-principles (GGA-PBE) data for crystalline Ta5W2 at its relaxed geometry, as listed in Alexandria.

Output
- size of the total moment (μB per formula unit) = 0.00

Geometry as extended XYZ:
```
14
Lattice="5.249 0.000 0.000 0.000 6.417 0.538 -2.624 -0.547 7.409" Properties=species:S:1:pos:R:3 pbc="T T T"
W 0.663 5.245 6.880
W 3.287 3.834 1.337
W 1.962 0.626 1.067
W -0.663 2.036 6.610
Ta 1.981 5.056 3.566
Ta 0.655 2.812 2.350
Ta 3.268 1.847 3.297
Ta 1.969 3.059 5.597
Ta 0.671 4.813 0.404
Ta -0.655 6.020 2.619
Ta 3.280 -0.150 5.328
Ta 4.578 1.604 0.135
Ta -0.644 4.023 4.650
Ta 0.644 0.815 4.381
```

#ii
First-principles (GGA-PBE) data for crystalline Ta5W2 at its relaxed geometry, as listed in Alexandria.

Output
- size of the total moment (μB per formula unit) = 0.00

Geometry as extended XYZ:
```
7
Lattice="4.410 0.002 -1.457 -2.444 3.949 -0.008 -0.087 -0.060 7.099" Properties=species:S:1:pos:R:3 pbc="T T T"
Ta 1.468 3.641 0.721
Ta -0.329 2.525 2.681
Ta 0.410 0.250 4.914
Ta -1.222 1.975 -0.004
Ta 2.207 1.365 2.954
W 1.359 0.841 0.403
W 0.520 3.049 5.232
```

Quick one: most stable of them? #ii